A geometry-optimized LiMg2InHg5 structure, computed with PBE-GGA.

Summary:
Spin magnetization: 0.000 μB/atom
Calculated density: 9.54 Mg/m³
Energy of formation: -142 meV/atom
Fermi-level density of states: 0.33 states/eV/atom
Calculated total energy: -10.63 eV/f.u.

The structure in POSCAR format:
```
LiMg2InHg5
1.0
1.746 -8.557 0.000
1.746 8.557 0.000
0.000 0.000 13.667
Li Mg In Hg
2 4 2 10
Direct
0.111 0.889 0.500 Li
0.889 0.111 0.000 Li
0.370 0.630 0.676 Mg
0.384 0.616 0.344 Mg
0.616 0.384 0.844 Mg
0.630 0.370 0.176 Mg
0.235 0.765 0.013 In
0.765 0.235 0.513 In
0.031 0.969 0.314 Hg
0.059 0.941 0.007 Hg
0.193 0.807 0.686 Hg
0.208 0.792 0.335 Hg
0.457 0.543 0.143 Hg
0.543 0.457 0.643 Hg
0.792 0.208 0.835 Hg
0.807 0.193 0.186 Hg
0.941 0.059 0.507 Hg
0.969 0.031 0.814 Hg
```


A geometry-optimized Tm3Al9Fe2 structure, computed with PBE-GGA.

Summary:
Spin magnetization: 0.055 μB/atom
Calculated density: 5.83 Mg/m³
Energy of formation: -406 meV/atom
Fermi-level density of states: 0.51 states/eV/atom
Calculated total energy: -69.71 eV/f.u.

The structure in POSCAR format:
```
Tm3Al9Fe2
1.0
-2.138 4.765 6.023
2.138 -4.765 6.023
2.138 4.765 -6.023
Tm Al Fe
3 9 2
Direct
0.000 0.000 0.000 Tm
0.301 0.301 0.000 Tm
0.699 0.699 0.000 Tm
0.006 0.646 0.360 Al
0.158 0.874 0.284 Al
0.286 0.646 0.640 Al
0.410 0.126 0.284 Al
0.500 0.000 0.500 Al
0.590 0.874 0.716 Al
0.714 0.354 0.360 Al
0.842 0.126 0.716 Al
0.994 0.354 0.640 Al
0.331 0.500 0.831 Fe
0.669 0.500 0.169 Fe
```


A geometry-optimized CeGdHo structure, computed with PBE-GGA.

Summary:
Spin magnetization: 2.276 μB/atom
Calculated density: 8.32 Mg/m³
Energy of formation: 69 meV/atom
Fermi-level density of states: 2.08 states/eV/atom
Energy above the lowest structure with this stoichiometry: 6 meV per atom
Calculated total energy: -24.39 eV/f.u.

The structure in POSCAR format:
```
CeGdHo
1.0
-1.763 1.763 7.420
1.763 -1.763 7.420
1.763 1.763 -7.420
Ce Gd Ho
1 1 1
Direct
0.000 0.000 0.000 Ce
0.339 0.339 0.000 Gd
0.661 0.661 0.000 Ho
```